1.
A plane-wave DFT calculation with PBE was carried out for Sm2Dy4Th after structural relaxation. Values from VASP.

Results
Relative energy among the computed polymorphs = 0.053 eV/atom
ΔE_f = 7.5 kJ per mole of atoms
SG = R-3m
Total magnetic moment = 0.00 μB per cell

Structure (Quantum ESPRESSO input):
```
&SYSTEM
  ibrav = 0, nat = 7, ntyp = 3
/
ATOMIC_SPECIES
Sm 150.36 Sm.upf
Dy 162.50 Dy.upf
Th 232.04 Th.upf
ATOMIC_POSITIONS crystal
Sm 0.235 0.235 0.235
Sm 0.765 0.765 0.765
Dy 0.143 0.143 0.143
Dy 0.289 0.289 0.289
Dy 0.711 0.711 0.711
Dy 0.857 0.857 0.857
Th 0.000 0.000 0.000
CELL_PARAMETERS angstrom
1.778 1.027 20.964
-1.778 1.027 20.964
0.000 -2.053 20.964
```

=====

2.
A plane-wave DFT calculation with PBE was carried out for Sm11Dy9Th4 after structural relaxation. Values from VASP.

Results
ΔE_f = 10.9 kJ per mole of atoms
SG = Cmmm
Total magnetic moment = 0.00 μB per cell

Structure (Quantum ESPRESSO input):
```
&SYSTEM
  ibrav = 0, nat = 24, ntyp = 3
/
ATOMIC_SPECIES
Sm 150.36 Sm.upf
Dy 162.50 Dy.upf
Th 232.04 Th.upf
ATOMIC_POSITIONS crystal
Sm 0.000 0.000 0.000
Sm 0.046 0.409 0.000
Sm 0.158 0.842 0.000
Sm 0.292 0.292 0.000
Sm 0.367 0.633 0.000
Sm 0.409 0.046 0.000
Sm 0.591 0.954 0.000
Sm 0.633 0.367 0.000
Sm 0.708 0.708 0.000
Sm 0.842 0.158 0.000
Sm 0.954 0.591 0.000
Dy 0.066 0.212 0.500
Dy 0.163 0.635 0.500
Dy 0.212 0.066 0.500
Dy 0.365 0.837 0.500
Dy 0.500 0.500 0.500
Dy 0.635 0.163 0.500
Dy 0.788 0.934 0.500
Dy 0.837 0.365 0.500
Dy 0.934 0.788 0.500
Th 0.241 0.445 0.500
Th 0.445 0.241 0.500
Th 0.555 0.759 0.500
Th 0.759 0.555 0.500
CELL_PARAMETERS angstrom
8.487 -12.778 0.000
8.487 12.778 0.000
0.000 0.000 3.704
```

=====

3.
A plane-wave DFT calculation with PBE was carried out for Sm2DyTh after structural relaxation. Values from VASP.

Results
Relative energy among the computed polymorphs = 0.000 eV/atom
ΔE_f = 1.9 kJ per mole of atoms
SG = R3m
Total magnetic moment = 0.00 μB per cell

Structure (Quantum ESPRESSO input):
```
&SYSTEM
  ibrav = 0, nat = 4, ntyp = 3
/
ATOMIC_SPECIES
Sm 150.36 Sm.upf
Dy 162.50 Dy.upf
Th 232.04 Th.upf
ATOMIC_POSITIONS crystal
Sm 0.000 0.000 0.000
Sm 0.169 0.169 0.169
Dy 0.418 0.418 0.418
Th 0.584 0.584 0.584
CELL_PARAMETERS angstrom
1.808 1.044 11.610
-1.808 1.044 11.610
0.000 -2.088 11.610
```

=====

4.
A plane-wave DFT calculation with PBE was carried out for Sm6Dy3Th after structural relaxation. Values from VASP.

Results
Relative energy among the computed polymorphs = 0.135 eV/atom
ΔE_f = 20.8 kJ per mole of atoms
SG = Pbam
Total magnetic moment = 0.00 μB per cell

Structure (Quantum ESPRESSO input):
```
&SYSTEM
  ibrav = 0, nat = 20, ntyp = 3
/
ATOMIC_SPECIES
Sm 150.36 Sm.upf
Dy 162.50 Dy.upf
Th 232.04 Th.upf
ATOMIC_POSITIONS crystal
Sm 0.004 0.219 0.000
Sm 0.163 0.640 0.500
Sm 0.197 0.998 0.000
Sm 0.303 0.498 0.000
Sm 0.337 0.140 0.500
Sm 0.496 0.719 0.000
Sm 0.504 0.281 0.000
Sm 0.663 0.860 0.500
Sm 0.697 0.502 0.000
Sm 0.803 0.002 0.000
Sm 0.837 0.360 0.500
Sm 0.996 0.781 0.000
Dy 0.000 0.000 0.500
Dy 0.160 0.366 0.500
Dy 0.340 0.866 0.500
Dy 0.500 0.500 0.500
Dy 0.660 0.134 0.500
Dy 0.840 0.634 0.500
Th 0.000 0.500 0.000
Th 0.500 0.000 0.000
CELL_PARAMETERS angstrom
11.016 0.000 0.000
0.000 12.505 0.000
0.000 0.000 5.008
```

=====

5.
A plane-wave DFT calculation with PBE was carried out for SmDy7Th3 after structural relaxation. Values from VASP.

Results
Relative energy among the computed polymorphs = 0.062 eV/atom
ΔE_f = 20.6 kJ per mole of atoms
SG = P3m1
Total magnetic moment = 0.00 μB per cell

Structure (Quantum ESPRESSO input):
```
&SYSTEM
  ibrav = 0, nat = 11, ntyp = 3
/
ATOMIC_SPECIES
Sm 150.36 Sm.upf
Dy 162.50 Dy.upf
Th 232.04 Th.upf
ATOMIC_POSITIONS crystal
Sm 0.000 0.000 0.000
Dy 0.003 0.502 0.004
Dy 0.331 0.166 0.343
Dy 0.333 0.667 0.345
Dy 0.498 0.502 0.004
Dy 0.498 0.997 0.004
Dy 0.834 0.166 0.343
Dy 0.834 0.669 0.343
Th 0.167 0.335 0.672
Th 0.167 0.833 0.672
Th 0.665 0.833 0.672
CELL_PARAMETERS angstrom
7.073 0.000 0.000
-3.536 6.125 0.000
0.000 0.000 8.564
```

=====

6.
A plane-wave DFT calculation with PBE was carried out for SmDy8Th2 after structural relaxation. Values from VASP.

Results
Relative energy among the computed polymorphs = 0.158 eV/atom
ΔE_f = 18.3 kJ per mole of atoms
SG = C2/m
Total magnetic moment = 0.00 μB per cell

Structure (Quantum ESPRESSO input):
```
&SYSTEM
  ibrav = 0, nat = 11, ntyp = 3
/
ATOMIC_SPECIES
Sm 150.36 Sm.upf
Dy 162.50 Dy.upf
Th 232.04 Th.upf
ATOMIC_POSITIONS crystal
Sm 0.000 0.000 0.000
Dy 0.138 0.598 0.262
Dy 0.183 0.183 0.233
Dy 0.402 0.862 0.738
Dy 0.453 0.453 0.762
Dy 0.547 0.547 0.238
Dy 0.598 0.138 0.262
Dy 0.817 0.817 0.767
Dy 0.862 0.402 0.738
Th 0.282 0.282 0.738
Th 0.718 0.718 0.262
CELL_PARAMETERS angstrom
9.494 -3.515 0.000
9.494 3.515 0.000
-0.212 0.000 5.564
```

=====

7.
A plane-wave DFT calculation with PBE was carried out for SmDy14Th after structural relaxation. Values from VASP.

Results
ΔE_f = 1.9 kJ per mole of atoms
SG = P4/mmm
Total magnetic moment = 0.00 μB per cell

Structure (Quantum ESPRESSO input):
```
&SYSTEM
  ibrav = 0, nat = 16, ntyp = 3
/
ATOMIC_SPECIES
Sm 150.36 Sm.upf
Dy 162.50 Dy.upf
Th 232.04 Th.upf
ATOMIC_POSITIONS crystal
Sm 0.000 0.000 0.000
Dy 0.000 0.000 0.500
Dy 0.000 0.500 0.000
Dy 0.000 0.500 0.500
Dy 0.252 0.252 0.250
Dy 0.252 0.252 0.750
Dy 0.252 0.748 0.250
Dy 0.252 0.748 0.750
Dy 0.500 0.000 0.000
Dy 0.500 0.000 0.500
Dy 0.500 0.500 0.500
Dy 0.748 0.252 0.250
Dy 0.748 0.252 0.750
Dy 0.748 0.748 0.250
Dy 0.748 0.748 0.750
Th 0.500 0.500 0.000
CELL_PARAMETERS angstrom
7.104 0.000 0.000
0.000 7.104 0.000
0.000 0.000 10.034
```

=====

8.
A plane-wave DFT calculation with PBE was carried out for Sm6Dy12Th after structural relaxation. Values from VASP.

Results
Relative energy among the computed polymorphs = 0.000 eV/atom
ΔE_f = 14.2 kJ per mole of atoms
SG = R-3
Total magnetic moment = 0.00 μB per cell

Structure (Quantum ESPRESSO input):
```
&SYSTEM
  ibrav = 0, nat = 19, ntyp = 3
/
ATOMIC_SPECIES
Sm 150.36 Sm.upf
Dy 162.50 Dy.upf
Th 232.04 Th.upf
ATOMIC_POSITIONS crystal
Sm 0.189 0.756 0.589
Sm 0.244 0.411 0.811
Sm 0.411 0.811 0.244
Sm 0.589 0.189 0.756
Sm 0.756 0.589 0.189
Sm 0.811 0.244 0.411
Dy 0.041 0.940 0.274
Dy 0.060 0.726 0.959
Dy 0.152 0.489 0.291
Dy 0.274 0.041 0.940
Dy 0.291 0.152 0.489
Dy 0.489 0.291 0.152
Dy 0.511 0.709 0.848
Dy 0.709 0.848 0.511
Dy 0.726 0.959 0.060
Dy 0.848 0.511 0.709
Dy 0.940 0.274 0.041
Dy 0.959 0.060 0.726
Th 0.500 0.500 0.500
CELL_PARAMETERS angstrom
6.000 3.464 5.029
-6.000 3.464 5.029
0.000 -6.928 5.029
```

=====

9.
A plane-wave DFT calculation with PBE was carried out for Sm7Dy2Th after structural relaxation. Values from VASP.

Results
ΔE_f = 39.7 kJ per mole of atoms
SG = Cmmm
Total magnetic moment = 0.00 μB per cell

Structure (Quantum ESPRESSO input):
```
&SYSTEM
  ibrav = 0, nat = 10, ntyp = 3
/
ATOMIC_SPECIES
Sm 150.36 Sm.upf
Dy 162.50 Dy.upf
Th 232.04 Th.upf
ATOMIC_POSITIONS crystal
Sm 0.000 0.000 0.000
Sm 0.118 0.372 0.000
Sm 0.173 0.827 0.500
Sm 0.372 0.118 0.000
Sm 0.628 0.882 0.000
Sm 0.827 0.173 0.500
Sm 0.882 0.628 0.000
Dy 0.332 0.668 0.000
Dy 0.668 0.332 0.000
Th 0.500 0.500 0.500
CELL_PARAMETERS angstrom
6.029 -8.473 0.000
6.029 8.473 0.000
0.000 0.000 3.469
```

=====

10.
A plane-wave DFT calculation with PBE was carried out for SmDy12Th6 after structural relaxation. Values from VASP.

Results
ΔE_f = 45.0 kJ per mole of atoms
SG = R-3m
Total magnetic moment = 0.00 μB per cell

Structure (Quantum ESPRESSO input):
```
&SYSTEM
  ibrav = 0, nat = 19, ntyp = 3
/
ATOMIC_SPECIES
Sm 150.36 Sm.upf
Dy 162.50 Dy.upf
Th 232.04 Th.upf
ATOMIC_POSITIONS crystal
Sm 0.000 0.000 0.000
Dy 0.003 0.747 0.747
Dy 0.108 0.500 0.892
Dy 0.108 0.892 0.500
Dy 0.253 0.253 0.997
Dy 0.253 0.997 0.253
Dy 0.500 0.108 0.892
Dy 0.500 0.892 0.108
Dy 0.747 0.003 0.747
Dy 0.747 0.747 0.003
Dy 0.892 0.108 0.500
Dy 0.892 0.500 0.108
Dy 0.997 0.253 0.253
Th 0.247 0.633 0.633
Th 0.367 0.367 0.753
Th 0.367 0.753 0.367
Th 0.633 0.247 0.633
Th 0.633 0.633 0.247
Th 0.753 0.367 0.367
CELL_PARAMETERS angstrom
7.977 4.605 2.949
-7.977 4.605 2.949
0.000 -9.211 2.949
```

=====

11.
A plane-wave DFT calculation with PBE was carried out for Sm2Dy7Th2 after structural relaxation. Values from VASP.

Results
ΔE_f = 17.5 kJ per mole of atoms
SG = C2/m
Total magnetic moment = 0.00 μB per cell

Structure (Quantum ESPRESSO input):
```
&SYSTEM
  ibrav = 0, nat = 11, ntyp = 3
/
ATOMIC_SPECIES
Sm 150.36 Sm.upf
Dy 162.50 Dy.upf
Th 232.04 Th.upf
ATOMIC_POSITIONS crystal
Sm 0.215 0.785 0.000
Sm 0.785 0.215 0.000
Dy 0.000 0.000 0.500
Dy 0.067 0.589 0.331
Dy 0.242 0.242 0.080
Dy 0.411 0.933 0.669
Dy 0.589 0.067 0.331
Dy 0.758 0.758 0.920
Dy 0.933 0.411 0.669
Th 0.411 0.411 0.690
Th 0.589 0.589 0.310
CELL_PARAMETERS angstrom
5.558 -5.755 0.000
5.558 5.755 0.000
-2.432 0.000 5.619
```

=====

12.
A plane-wave DFT calculation with PBE was carried out for Sm7Dy3Th after structural relaxation. Values from VASP.

Results
Relative energy among the computed polymorphs = 0.000 eV/atom
ΔE_f = 18.4 kJ per mole of atoms
SG = P3m1
Total magnetic moment = 0.00 μB per cell

Structure (Quantum ESPRESSO input):
```
&SYSTEM
  ibrav = 0, nat = 11, ntyp = 3
/
ATOMIC_SPECIES
Sm 150.36 Sm.upf
Dy 162.50 Dy.upf
Th 232.04 Th.upf
ATOMIC_POSITIONS crystal
Sm 0.000 0.000 0.000
Sm 0.166 0.331 0.663
Sm 0.166 0.834 0.663
Sm 0.503 0.006 0.998
Sm 0.503 0.497 0.998
Sm 0.669 0.834 0.663
Sm 0.994 0.497 0.998
Dy 0.338 0.169 0.336
Dy 0.831 0.169 0.336
Dy 0.831 0.662 0.336
Th 0.667 0.333 0.665
CELL_PARAMETERS angstrom
7.160 0.000 0.000
-3.580 6.201 0.000
0.000 0.000 8.679
```

=====

13.
A plane-wave DFT calculation with PBE was carried out for Sm3Dy2Th4 after structural relaxation. Values from VASP.

Results
ΔE_f = 4.4 kJ per mole of atoms
SG = C2/m
Total magnetic moment = 0.00 μB per cell

Structure (Quantum ESPRESSO input):
```
&SYSTEM
  ibrav = 0, nat = 9, ntyp = 3
/
ATOMIC_SPECIES
Sm 150.36 Sm.upf
Dy 162.50 Dy.upf
Th 232.04 Th.upf
ATOMIC_POSITIONS crystal
Sm 0.000 0.000 0.000
Sm 0.116 0.116 0.670
Sm 0.884 0.884 0.330
Dy 0.440 0.440 0.667
Dy 0.560 0.560 0.333
Th 0.223 0.223 0.333
Th 0.331 0.331 0.996
Th 0.669 0.669 0.004
Th 0.777 0.777 0.667
CELL_PARAMETERS angstrom
7.595 -2.536 0.000
7.595 2.536 0.000
-2.579 0.000 7.637
```

=====

14.
A plane-wave DFT calculation with PBE was carried out for Sm6Dy3Th after structural relaxation. Values from VASP.

Results
Relative energy among the computed polymorphs = 0.000 eV/atom
ΔE_f = 7.8 kJ per mole of atoms
SG = P2_1/m
Total magnetic moment = 0.00 μB per cell

Structure (Quantum ESPRESSO input):
```
&SYSTEM
  ibrav = 0, nat = 20, ntyp = 3
/
ATOMIC_SPECIES
Sm 150.36 Sm.upf
Dy 162.50 Dy.upf
Th 232.04 Th.upf
ATOMIC_POSITIONS crystal
Sm 0.000 0.250 0.190
Sm 0.000 0.750 0.810
Sm 0.155 0.750 0.380
Sm 0.229 0.250 0.798
Sm 0.279 0.250 0.213
Sm 0.310 0.250 0.580
Sm 0.378 0.750 0.016
Sm 0.622 0.250 0.984
Sm 0.690 0.750 0.420
Sm 0.721 0.750 0.787
Sm 0.771 0.750 0.202
Sm 0.845 0.250 0.620
Dy 0.078 0.750 0.596
Dy 0.125 0.250 0.002
Dy 0.426 0.750 0.400
Dy 0.574 0.250 0.600
Dy 0.875 0.750 0.998
Dy 0.922 0.250 0.404
Th 0.463 0.750 0.777
Th 0.537 0.250 0.223
CELL_PARAMETERS angstrom
13.203 0.000 0.000
0.000 3.546 0.000
-2.653 0.000 14.212
```

=====

15.
A plane-wave DFT calculation with PBE was carried out for SmDy12Th2 after structural relaxation. Values from VASP.

Results
ΔE_f = 11.3 kJ per mole of atoms
SG = C2/m
Total magnetic moment = 0.00 μB per cell

Structure (Quantum ESPRESSO input):
```
&SYSTEM
  ibrav = 0, nat = 30, ntyp = 3
/
ATOMIC_SPECIES
Sm 150.36 Sm.upf
Dy 162.50 Dy.upf
Th 232.04 Th.upf
ATOMIC_POSITIONS crystal
Sm 0.250 0.250 0.000
Sm 0.750 0.750 0.000
Dy 0.047 0.553 0.202
Dy 0.069 0.594 0.331
Dy 0.130 0.651 0.555
Dy 0.162 0.162 0.564
Dy 0.216 0.216 0.864
Dy 0.232 0.732 0.926
Dy 0.268 0.768 0.074
Dy 0.283 0.283 0.136
Dy 0.349 0.870 0.445
Dy 0.351 0.351 0.410
Dy 0.406 0.931 0.669
Dy 0.447 0.953 0.798
Dy 0.553 0.047 0.202
Dy 0.594 0.069 0.331
Dy 0.649 0.649 0.590
Dy 0.651 0.130 0.555
Dy 0.717 0.717 0.864
Dy 0.732 0.232 0.926
Dy 0.768 0.268 0.074
Dy 0.784 0.784 0.136
Dy 0.838 0.838 0.436
Dy 0.870 0.349 0.445
Dy 0.931 0.406 0.669
Dy 0.953 0.447 0.798
Th 0.077 0.077 0.270
Th 0.444 0.444 0.731
Th 0.556 0.556 0.269
Th 0.923 0.923 0.730
CELL_PARAMETERS angstrom
3.534 -5.563 0.000
3.534 5.563 0.000
-1.794 0.000 24.565
```

=====

16.
A plane-wave DFT calculation with PBE was carried out for SmDy4Th after structural relaxation. Values from VASP.

Results
Relative energy among the computed polymorphs = 0.000 eV/atom
ΔE_f = 2.1 kJ per mole of atoms
SG = C2/m
Total magnetic moment = 0.00 μB per cell

Structure (Quantum ESPRESSO input):
```
&SYSTEM
  ibrav = 0, nat = 6, ntyp = 3
/
ATOMIC_SPECIES
Sm 150.36 Sm.upf
Dy 162.50 Dy.upf
Th 232.04 Th.upf
ATOMIC_POSITIONS crystal
Sm 0.000 0.000 0.000
Dy 0.334 0.334 0.172
Dy 0.336 0.336 0.663
Dy 0.664 0.664 0.337
Dy 0.666 0.666 0.828
Th 0.000 0.000 0.500
CELL_PARAMETERS angstrom
7.709 -1.786 0.000
7.709 1.786 0.000
-1.664 0.000 6.966
```

=====

17.
A plane-wave DFT calculation with PBE was carried out for SmDy8Th4 after structural relaxation. Values from VASP.

Results
ΔE_f = 20.7 kJ per mole of atoms
SG = R-3m
Total magnetic moment = 0.00 μB per cell

Structure (Quantum ESPRESSO input):
```
&SYSTEM
  ibrav = 0, nat = 13, ntyp = 3
/
ATOMIC_SPECIES
Sm 150.36 Sm.upf
Dy 162.50 Dy.upf
Th 232.04 Th.upf
ATOMIC_POSITIONS crystal
Sm 0.000 0.000 0.000
Dy 0.250 0.250 0.690
Dy 0.250 0.690 0.250
Dy 0.279 0.279 0.279
Dy 0.310 0.750 0.750
Dy 0.690 0.250 0.250
Dy 0.721 0.721 0.721
Dy 0.750 0.310 0.750
Dy 0.750 0.750 0.310
Th 0.000 0.000 0.500
Th 0.000 0.500 0.000
Th 0.500 0.000 0.000
Th 0.500 0.500 0.500
CELL_PARAMETERS angstrom
3.691 2.131 8.890
-3.691 2.131 8.890
0.000 -4.261 8.890
```

=====

18.
A plane-wave DFT calculation with PBE was carried out for Sm4Dy7Th after structural relaxation. Values from VASP.

Results
Relative energy among the computed polymorphs = 0.276 eV/atom
ΔE_f = 28.5 kJ per mole of atoms
SG = C2/m
Total magnetic moment = 0.00 μB per cell

Structure (Quantum ESPRESSO input):
```
&SYSTEM
  ibrav = 0, nat = 12, ntyp = 3
/
ATOMIC_SPECIES
Sm 150.36 Sm.upf
Dy 162.50 Dy.upf
Th 232.04 Th.upf
ATOMIC_POSITIONS crystal
Sm 0.062 0.062 0.326
Sm 0.361 0.361 0.223
Sm 0.639 0.639 0.777
Sm 0.938 0.938 0.674
Dy 0.000 0.000 0.000
Dy 0.210 0.210 0.923
Dy 0.245 0.245 0.681
Dy 0.366 0.366 0.498
Dy 0.634 0.634 0.502
Dy 0.755 0.755 0.319
Dy 0.790 0.790 0.077
Th 0.500 0.500 0.000
CELL_PARAMETERS angstrom
6.070 -2.979 0.000
6.070 2.979 0.000
-6.025 0.000 11.210
```

=====

19.
A plane-wave DFT calculation with PBE was carried out for Sm2Dy3Th3 after structural relaxation. Values from VASP.

Results
ΔE_f = 15.6 kJ per mole of atoms
SG = P-62m
Total magnetic moment = 0.00 μB per cell

Structure (Quantum ESPRESSO input):
```
&SYSTEM
  ibrav = 0, nat = 8, ntyp = 3
/
ATOMIC_SPECIES
Sm 150.36 Sm.upf
Dy 162.50 Dy.upf
Th 232.04 Th.upf
ATOMIC_POSITIONS crystal
Sm 0.333 0.667 0.000
Sm 0.667 0.333 0.000
Dy 0.000 0.605 0.500
Dy 0.395 0.395 0.500
Dy 0.605 0.000 0.500
Th 0.000 0.226 0.000
Th 0.226 0.000 0.000
Th 0.774 0.774 0.000
CELL_PARAMETERS angstrom
9.106 0.000 0.000
-4.553 7.886 0.000
0.000 0.000 3.636
```